No. 1
First-principles (PBE) data for a relaxed structure of Ba2PdPb2, as listed in Alexandria via LeMat-Bulk.

abc: 4.731 4.774 8.052
angles: 107.24 90.00 90.00
Element x y z (fractional)
Pd (0.500, 0.111, 0.222)
Ba (0.000, 0.683, 0.367)
Ba (0.000, 0.934, 0.869)
Pb (0.500, 0.302, 0.604)
Pb (0.500, 0.512, 0.023)

Values from the calculation:
DFT formation energy in meV/atom: -505.8
Total DFT energy (no corrections) in eV per cell: -18.98

***

No. 2
First-principles (PBE) data for a relaxed structure of HoGaCu5, as listed in Alexandria via LeMat-Bulk.

abc: 5.021 8.064 10.148
angles: 90.00 90.00 90.00
Element x y z (fractional)
Cu (0.005, 0.066, 0.694)
Ga (0.750, 0.145, 0.145)
Ho (0.750, 0.257, 0.439)
Ga (0.750, 0.645, 0.355)
Cu (0.005, 0.566, 0.806)
Ga (0.250, 0.355, 0.645)
Cu (0.495, 0.066, 0.694)
Cu (0.750, 0.408, 0.984)
Cu (0.250, 0.592, 0.016)
Cu (0.750, 0.318, 0.746)
Ho (0.750, 0.757, 0.061)
Ga (0.250, 0.855, 0.855)
Cu (0.750, 0.065, 0.911)
Cu (0.250, 0.092, 0.484)
Cu (0.250, 0.435, 0.411)
Cu (0.495, 0.566, 0.806)
Cu (0.505, 0.934, 0.306)
Cu (0.750, 0.818, 0.754)
Cu (0.250, 0.935, 0.089)
Ho (0.250, 0.243, 0.939)
Cu (0.995, 0.434, 0.194)
Cu (0.995, 0.934, 0.306)
Cu (0.750, 0.565, 0.589)
Cu (0.250, 0.682, 0.254)
Cu (0.505, 0.434, 0.194)
Cu (0.250, 0.182, 0.246)
Ho (0.250, 0.743, 0.561)
Cu (0.750, 0.908, 0.516)

Values from the calculation:
DFT formation energy in meV/atom: -251.0
Total DFT energy (no corrections) in eV per cell: -119.37

***

No. 3
First-principles (PBE) data for a relaxed structure of LaNdPb2, as listed in Alexandria via LeMat-Bulk.

abc: 4.753 4.567 6.500
angles: 90.00 111.38 90.00
Element x y z (fractional)
Pb (0.988, 0.000, 0.513)
La (0.715, 0.000, 0.972)
Pb (0.176, 0.500, 0.893)
Nd (0.452, 0.500, 0.440)

Values from the calculation:
DFT formation energy in meV/atom: -584.4
Total DFT energy (no corrections) in eV per cell: -19.45